(1)
Computed, not measured: crystalline La6AsSe2I3 at its relaxed geometry at the PBE-GGA level of DFT.

**Formation energy (no corrections)**: -1.4718 eV per atom
**Volume**: 382 Å³/f.u.
**VASP energy**: -127.0 eV for the cell shown

Lattice parameters (Å, degrees): 7.5276 13.0525 8.1814 90.00 107.91 90.00
Space group C2/m (No. 12)
Asymmetric unit:
La1 0.2343 0.1660 0.2045 (multiplicity 8)
La2 0.2355 0.5000 0.2040 (multiplicity 4)
As1 0.0000 0.0000 0.0000 (multiplicity 2)
Se1 0.0000 0.3331 0.0000 (multiplicity 4)
I1 0.0000 0.1658 0.5000 (multiplicity 4)
I2 0.0000 0.5000 0.5000 (multiplicity 2)

---

(2)
Computed, not measured: crystalline LaAsSe2I at its relaxed geometry at the PBE-GGA level of DFT.

**Excess energy over the best structure of this formula in the dataset**: 0 meV/atom
**Formation energy (no corrections)**: -0.0008 eV per atom
**Volume**: 152 Å³/f.u.
**VASP energy**: -18.1 eV for the cell shown

Lattice parameters (Å, degrees): 5.2874 5.2874 5.4353 90.00 90.00 90.00
Space group P4/mmm (No. 123)
Asymmetric unit:
La1 0.0000 0.0000 0.0000 (multiplicity 1)
As1 0.5000 0.5000 0.0000 (multiplicity 1)
Se1 0.0000 0.5000 0.5000 (multiplicity 2)
I1 0.5000 0.5000 0.5000 (multiplicity 1)

---

(3)
Computed, not measured: crystalline La6As2Se3I at its relaxed geometry at the PBE-GGA level of DFT.

**Formation energy (no corrections)**: -1.7222 eV per atom
**Volume**: 357 Å³/f.u.
**VASP energy**: -143.1 eV for the cell shown

Lattice parameters (Å, degrees): 19.0305 4.3663 8.7965 90.00 102.69 90.00
Space group C2/m (No. 12)
Asymmetric unit:
La1 0.0041 0.0000 0.2757 (multiplicity 4)
La2 0.1690 0.5000 0.5793 (multiplicity 4)
La3 0.1768 0.5000 0.0961 (multiplicity 4)
As1 0.1669 0.0000 0.3324 (multiplicity 4)
Se1 0.0000 0.5000 0.5000 (multiplicity 2)
Se2 0.1619 0.0000 0.8335 (multiplicity 4)
I1 0.0000 0.5000 0.0000 (multiplicity 2)

---

(4)
Computed, not measured: crystalline La8As3SeI4 at its relaxed geometry at the PBE-GGA level of DFT.

**Formation energy (no corrections)**: -1.4345 eV per atom
**Volume**: 518 Å³/f.u.
**VASP energy**: -258.0 eV for the cell shown

Lattice parameters (Å, degrees): 8.8200 8.8200 23.0462 90.00 90.00 120.00
Space group R-3m (No. 166, hexagonal axes)
Asymmetric unit:
La1 0.0000 0.0000 0.2336 (multiplicity 6)
La2 0.0009 0.5004 0.7663 (multiplicity 18)
As1 0.0000 0.5000 0.5000 (multiplicity 9)
Se1 0.0000 0.0000 0.5000 (multiplicity 3)
I1 0.0000 0.0000 0.0000 (multiplicity 3)
I2 0.0000 0.5000 0.0000 (multiplicity 9)

---

(5)
Computed, not measured: crystalline La4AsSeI2 at its relaxed geometry at the PBE-GGA level of DFT.

**Formation energy (no corrections)**: -1.4561 eV per atom
**Volume**: 256 Å³/f.u.
**VASP energy**: -42.6 eV for the cell shown

Lattice parameters (Å, degrees): 7.5780 4.3949 8.1098 90.00 108.31 90.00
Space group P2/m (No. 10)
Asymmetric unit:
La1 0.2338 0.0000 0.2031 (multiplicity 2)
La2 0.2649 0.5000 0.7967 (multiplicity 2)
As1 0.0000 0.5000 0.0000 (multiplicity 1)
Se1 0.5000 0.0000 0.0000 (multiplicity 1)
I1 0.0000 0.0000 0.5000 (multiplicity 1)
I2 0.5000 0.5000 0.5000 (multiplicity 1)

---

(6)
Computed, not measured: crystalline La2SiAsI at its relaxed geometry at the PBE-GGA level of DFT.

**Formation energy (no corrections)**: -0.0089 eV per atom
**Volume**: 179 Å³/f.u.
**VASP energy**: -21.5 eV for the cell shown

Lattice parameters (Å, degrees): 5.8191 5.8191 5.2823 90.00 90.00 90.00
Space group P4/mmm (No. 123)
Asymmetric unit:
La1 0.0000 0.5000 0.0000 (multiplicity 2)
Si1 0.0000 0.0000 0.5000 (multiplicity 1)
As1 0.5000 0.5000 0.0000 (multiplicity 1)
I1 0.5000 0.5000 0.5000 (multiplicity 1)

---

(7)
Computed, not measured: crystalline La8SiAs3I4 at its relaxed geometry at the PBE-GGA level of DFT.

**Formation energy (no corrections)**: -1.3186 eV per atom
**Volume**: 524 Å³/f.u.
**VASP energy**: -258.3 eV for the cell shown

Lattice parameters (Å, degrees): 8.8386 8.8386 23.2377 90.00 90.00 120.00
Space group R-3m (No. 166, hexagonal axes)
Asymmetric unit:
La1 0.0000 0.0000 0.2333 (multiplicity 6)
La2 0.0046 0.5023 0.2333 (multiplicity 18)
Si1 0.0000 0.0000 0.5000 (multiplicity 3)
As1 0.0000 0.5000 0.5000 (multiplicity 9)
I1 0.0000 0.0000 0.0000 (multiplicity 3)
I2 0.0000 0.5000 0.0000 (multiplicity 9)

---

(8)
Computed, not measured: crystalline La8TcAs3I4 at its relaxed geometry at the PBE-GGA level of DFT.

**Formation energy (no corrections)**: -1.1852 eV per atom
**Volume**: 525 Å³/f.u.
**VASP energy**: -266.7 eV for the cell shown

Lattice parameters (Å, degrees): 8.8064 8.8064 23.4443 90.00 90.00 120.00
Space group R-3m (No. 166, hexagonal axes)
Asymmetric unit:
La1 0.0000 0.0000 0.2342 (multiplicity 6)
La2 0.0176 0.5088 0.2315 (multiplicity 18)
Tc1 0.0000 0.0000 0.5000 (multiplicity 3)
As1 0.0000 0.5000 0.5000 (multiplicity 9)
I1 0.0000 0.0000 0.0000 (multiplicity 3)
I2 0.0000 0.5000 0.0000 (multiplicity 9)